No. 1
VASP calculation (PBE) on a relaxed GdYB2P2Ir2 crystal.

a = 3.9473 Å, b = 3.9473 Å, c = 8.3497 Å
α = 90.00°, β = 90.00°, γ = 90.00°
Sites, in units of the cell vectors:
B (0.0000, 0.0000, 0.3862)
B (0.5000, 0.5000, 0.6125)
Gd (0.5000, 0.5000, 0.1958)
Ir (0.5000, 0.0000, 0.5002)
Ir (0.0000, 0.5000, 0.5002)
P (0.0000, 0.0000, 0.1468)
P (0.5000, 0.5000, 0.8513)
Y (0.0000, 0.0000, 0.8070)

Summary:
SG	P4mm, No. 99

---

No. 2
VASP calculation (PBE) on a relaxed BaPtO3 crystal.

a = 4.5393 Å, b = 4.5393 Å, c = 4.5393 Å
α = 90.00°, β = 90.00°, γ = 90.00°
Sites, in units of the cell vectors:
Ba (0.5000, 0.5000, 0.5000)
O (0.5000, 0.5000, 0.0000)
O (0.5000, 0.0000, 0.5000)
O (0.0000, 0.5000, 0.5000)
Pt (0.0000, 0.0000, 0.0000)

Summary:
SG	Pm-3m, No. 221

---

No. 3
VASP calculation (PBE) on a relaxed PmBi crystal.

a = 4.5736 Å, b = 4.5736 Å, c = 4.5736 Å
α = 59.39°, β = 59.39°, γ = 59.39°
Sites, in units of the cell vectors:
Bi (0.0000, 0.0000, 0.0000)
Pm (0.5000, 0.5000, 0.5000)

Summary:
SG	R-3m, No. 166

---

No. 4
VASP calculation (PBE) on a relaxed Ga2CuOs crystal.

a = 4.3101 Å, b = 4.3101 Å, c = 4.3101 Å
α = 60.00°, β = 60.00°, γ = 60.00°
Sites, in units of the cell vectors:
Cu (0.2500, 0.2500, 0.2500)
Ga (0.0000, 0.0000, 0.0000)
Ga (0.7500, 0.7500, 0.7500)
Os (0.5000, 0.5000, 0.5000)

Summary:
SG	F-43m, No. 216

---

no.,uncorrected energy (eV per atom),total magnetic moment (μB per formula unit),theoretical density (g/cm³)
1,-7.5827,0.0,9.12
2,-3.8598,1.8,6.75
3,-5.3534,0.0,8.81
4,-4.9333,0.0,11.53